1.
First-principles (PBE-GGA) data for InPI2N after structural relaxation, as listed in the Alexandria database.

Cell and atoms, written as POSCAR:
```
InPI2N
1.0
-1.486 -3.102 -5.524
3.251 -5.244 2.069
-2.812 -1.183 1.421
P I In N
1 2 1 1
direct
0.000 0.000 0.000 P
0.500 0.000 0.000 I
0.000 0.500 0.000 I
0.500 0.500 0.500 In
0.000 0.000 0.500 N
```

Calculated values
The relative energy among the computed polymorphs comes out at 0.0000 eV/atom. For the uncorrected formation energy, the calculation gives 307 meV per atom. The raw total energy is -3.607 eV per atom.



2.
First-principles (PBE-GGA) data for Te2IBr2 after structural relaxation, as listed in the Alexandria database.

Cell and atoms, written as POSCAR:
```
Te2IBr2
1.0
-1.004 -5.977 -5.417
-4.382 -4.179 5.423
-4.072 2.159 -1.627
Br I Te
4 2 4
direct
0.294 0.206 0.500 Br
0.206 0.706 0.500 Br
0.794 0.294 0.500 Br
0.706 0.794 0.500 Br
0.500 0.500 0.000 I
0.000 0.000 0.000 I
0.122 0.378 0.000 Te
0.622 0.122 0.000 Te
0.378 0.878 0.000 Te
0.878 0.622 0.000 Te
```

Calculated values
For the uncorrected formation energy, the calculation gives 141 meV per atom. The raw total energy is -2.094 eV per atom.